[1]
This record from Alexandria via LeMat-Bulk describes a geometry-optimized BaTl2Pd4 structure. The functional is PBE.

Cell: 8.3567 8.3567 4.4221 Å, 90.00 90.00 90.00°
Closest atoms and distances in Å follow each position.
Space group P4_2/mnm (No. 136)
Unique sites:
Ba1 0.0000 0.0000 0.0000 (multiplicity 2)  6 Tl 3.29-3.42, 4 Pd 3.63
Tl1 0.2213 0.2213 0.5000 (multiplicity 4)  6 Pd 2.80-2.83
Pd1 0.0895 0.6428 0.5000 (multiplicity 8)  3 Tl 2.80-2.83, 5 Pd 2.82-2.98

Properties
Magnetization ... 0.0 Bohr magnetons per cell
Fermi-level density of states ... 6.018 states/eV/cell
Formation energy from the elements ... -0.32 eV/atom
Energy above the most stable polymorph in this dataset ... 0.061 eV per atom

=====

[2]
This record from Alexandria via LeMat-Bulk describes a geometry-optimized In3PbI12 structure. The functional is PBE.

Cell: 12.7481 12.7481 44.4462 Å, 90.00 90.00 120.00°
Closest atoms and distances in Å follow each position.
Space group R3c (No. 161, hexagonal axes)
Unique sites:
In1 0.0044 0.3561 0.0000 (multiplicity 18)  4 I 2.71-2.80
Pb1 0.0000 0.0000 0.3218 (multiplicity 6)  6 I 3.28-3.29
I1 0.0480 0.2320 0.2796 (multiplicity 18)  1 In 2.80
I2 0.2000 0.0848 0.1901 (multiplicity 18)  1 In 2.76
I3 0.2139 0.4359 0.0350 (multiplicity 18)  1 In 2.80
I4 0.2159 0.4380 0.1616 (multiplicity 18)  1 In 2.71

Properties
Magnetization ... 2.9 Bohr magnetons per cell
Fermi-level density of states ... 87.467 states/eV/cell
Formation energy (no corrections) ... -444 meV per atom

=====

[3]
This record from Alexandria via LeMat-Bulk describes a geometry-optimized DyHo8Tm4 structure. The functional is PBE.

Cell: 7.1789 7.1789 27.0674 Å, 90.00 90.00 120.00°
Closest atoms and distances in Å follow each position.
Space group R-3m (No. 166, hexagonal axes)
Unique sites:
Dy1 0.0000 0.0000 0.0000 (multiplicity 3)  6 Ho 2.91
Ho1 0.0000 0.0000 0.2841 (multiplicity 6)  9 Ho 3.63-3.65, 3 Tm 3.79
Ho2 0.0348 0.5174 0.2667 (multiplicity 18)  1 Dy 2.91, 2 Ho 3.21
Tm1 0.0000 0.0000 0.5000 (multiplicity 3)  6 Ho 3.28, 6 Tm 3.59
Tm2 0.0000 0.5000 0.5000 (multiplicity 9)  6 Ho 3.48-3.79, 6 Tm 3.59

Properties
Magnetization ... 0.0 Bohr magnetons per cell
Fermi-level density of states ... 47.217 states/eV/cell
Formation energy from the elements ... 0.23 eV/atom

=====

[4]
This record from Alexandria via LeMat-Bulk describes a geometry-optimized CuGeIr2 structure. The functional is PBE.

Cell: 4.0016 4.0016 3.4824 Å, 90.00 90.00 90.00°
Closest atoms and distances in Å follow each position.
Space group P4/mmm (No. 123)
Unique sites:
Cu1 0.0000 0.0000 0.0000 (multiplicity 1)  8 Ir 2.65, 4 Ge 2.83
Ge1 0.5000 0.5000 0.0000 (multiplicity 1)  8 Ir 2.65, 4 Cu 2.83
Ir1 0.0000 0.5000 0.5000 (multiplicity 2)  4 Ge 2.65, 4 Cu 2.65, 4 Ir 2.83

Properties
Magnetization ... 0.0 Bohr magnetons per cell
Fermi-level density of states ... 4.903 states/eV/cell
Formation energy from the elements ... 0.00 eV/atom

=====

[5]
This record from Alexandria via LeMat-Bulk describes a geometry-optimized CeTlRu2 structure. The functional is PBE.

Cell: 4.5313 4.5313 3.6552 Å, 90.00 90.00 90.00°
Closest atoms and distances in Å follow each position.
Space group P4/mmm (No. 123)
Unique sites:
Ce1 0.0000 0.0000 0.0000 (multiplicity 1)  8 Ru 2.91, 4 Tl 3.20
Tl1 0.5000 0.5000 0.0000 (multiplicity 1)  8 Ru 2.91, 4 Ce 3.20
Ru1 0.0000 0.5000 0.5000 (multiplicity 2)  4 Tl 2.91, 4 Ce 2.91, 4 Ru 3.20

Properties
Magnetization ... 0.0 Bohr magnetons per cell
Fermi-level density of states ... 3.326 states/eV/cell
Formation energy from the elements ... -0.10 eV/atom

=====

[6]
This record from Alexandria via LeMat-Bulk describes a geometry-optimized BaTl10Sn2 structure. The functional is PBE.

Cell: 6.4488 16.0811 16.1911 Å, 90.00 90.00 90.00°
Closest atoms and distances in Å follow each position.
Space group Fmmm (No. 69)
Unique sites:
Ba1 0.0000 0.0000 0.0000 (multiplicity 4)  16 Tl 4.03-4.33, 4 Sn 4.36
Tl1 0.0000 0.1043 0.3923 (multiplicity 16)  2 Sn 3.27, 7 Tl 3.34-3.62
Tl2 0.0000 0.1752 0.1803 (multiplicity 16)  6 Tl 3.30-3.62, 2 Sn 3.44
Tl3 0.2500 0.2500 0.0000 (multiplicity 8)  10 Tl 3.22-3.54
Sn1 0.2500 0.0000 0.2500 (multiplicity 8)  2 Sn 3.22, 8 Tl 3.27-3.44

Properties
Magnetization ... 0.0 Bohr magnetons per cell
Fermi-level density of states ... 29.484 states/eV/cell
Formation energy from the elements ... -0.07 eV/atom

=====

[7]
This record from Alexandria via LeMat-Bulk describes a geometry-optimized AlCdW2 structure. The functional is PBE.

Cell: 3.8923 3.8923 8.8766 Å, 90.00 90.00 90.00°
Closest atoms and distances in Å follow each position.
Space group I4/mmm (No. 139)
Unique sites:
Al1 0.0000 0.0000 0.0000 (multiplicity 2)  4 Cd 2.75, 8 W 2.95
Cd1 0.0000 0.0000 0.5000 (multiplicity 2)  4 Al 2.75, 8 W 2.95
W1 0.0000 0.5000 0.2500 (multiplicity 4)  4 W 2.75, 4 Cd 2.95, 4 Al 2.95

Properties
Magnetization ... 0.0 Bohr magnetons per cell
Fermi-level density of states ... 5.054 states/eV/cell
Formation energy from the elements ... 0.47 eV/atom
Energy above the most stable polymorph in this dataset ... 0.224 eV per atom

=====

[8]
This record from Alexandria via LeMat-Bulk describes a geometry-optimized BeCu2PdPb structure. The functional is PBE.

Cell: 4.1742 4.1742 4.7498 Å, 90.00 90.00 90.00°
Closest atoms and distances in Å follow each position.
Space group P4/mmm (No. 123)
Unique sites:
Be1 0.0000 0.0000 0.0000 (multiplicity 1)  4 Cu 2.09
Cu1 0.0000 0.5000 0.0000 (multiplicity 2)  2 Be 2.09
Pd1 0.5000 0.5000 0.5000 (multiplicity 1)  4 Pb 2.95, 8 Cu 3.16
Pb1 0.0000 0.0000 0.5000 (multiplicity 1)  2 Be 2.37

Properties
Magnetization ... 0.0 Bohr magnetons per cell
Fermi-level density of states ... 1.858 states/eV/cell
Formation energy from the elements ... 0.47 eV/atom
Energy above the most stable polymorph in this dataset ... 0.320 eV per atom

=====

[9]
This record from Alexandria via LeMat-Bulk describes a geometry-optimized Sm2Hg2Bi structure. The functional is PBE.

Cell: 9.2438 4.6160 7.2891 Å, 90.00 92.22 90.00°
Closest atoms and distances in Å follow each position.
Space group C2/m (No. 12)
Unique sites:
Sm1 0.1740 0.0000 0.2999 (multiplicity 4)  4 Hg 3.07-3.17, 3 Bi 3.20-3.30
Hg1 0.1446 0.0000 0.8784 (multiplicity 4)  4 Sm 3.07-3.17, 1 Hg 3.26
Bi1 0.0000 0.5000 0.5000 (multiplicity 2)  6 Sm 3.20-3.30

Properties
Magnetization ... 0.0 Bohr magnetons per cell
Fermi-level density of states ... 7.049 states/eV/cell
Formation energy from the elements ... -0.44 eV/atom

=====

[10]
This record from Alexandria via LeMat-Bulk describes a geometry-optimized Ce2SmTl2Zn2 structure. The functional is PBE.

Cell: 4.6041 4.6041 28.1493 Å, 90.00 90.00 120.00°
Closest atoms and distances in Å follow each position.
Space group R-3m (No. 166, hexagonal axes)
Unique sites:
Ce1 0.0000 0.0000 0.1443 (multiplicity 6)  3 Ce 2.94, 3 Zn 3.10
Sm1 0.0000 0.0000 0.0000 (multiplicity 3)  6 Tl 3.22
Tl1 0.0000 0.0000 0.2686 (multiplicity 6)  3 Zn 2.74
Zn1 0.0000 0.0000 0.4213 (multiplicity 6)  3 Tl 2.74

Properties
Magnetization ... 5.7 Bohr magnetons per cell
Fermi-level density of states ... 34.245 states/eV/cell
Formation energy from the elements ... -0.17 eV/atom

=====

[11]
This record from Alexandria via LeMat-Bulk describes a geometry-optimized Na3TbPd8 structure. The functional is PBE.

Cell: 5.4000 5.4000 26.4369 Å, 90.00 90.00 120.00°
Closest atoms and distances in Å follow each position.
Space group R3m (No. 160, hexagonal axes)
Unique sites:
Na1 0.0000 0.0000 0.0000 (multiplicity 3)  12 Pd 3.16-3.20, 4 Na 3.17-3.26
Na2 0.0000 0.0000 0.1200 (multiplicity 3)  12 Pd 3.07-3.27, 1 Na 3.17, 3 Tb 3.36
Na3 0.0000 0.0000 0.6308 (multiplicity 3)  12 Pd 3.10-3.26, 3 Na 3.26, 1 Tb 3.43
Tb1 0.0000 0.0000 0.5011 (multiplicity 3)  12 Pd 3.12-3.17, 4 Na 3.36-3.43
Pd1 0.0000 0.0000 0.3135 (multiplicity 3)  6 Pd 2.73
Pd2 0.0000 0.0000 0.8134 (multiplicity 3)  6 Pd 2.67
Pd3 0.0026 0.5013 0.0651 (multiplicity 9)  6 Pd 2.67-2.73
Pd4 0.1676 0.3353 0.8953 (multiplicity 9)  6 Pd 2.67-2.73

Properties
Magnetization ... 0.0 Bohr magnetons per cell
Fermi-level density of states ... 22.694 states/eV/cell
Formation energy from the elements ... -0.39 eV/atom

=====

[12]
This record from Alexandria via LeMat-Bulk describes a geometry-optimized La4CdInHg2 structure. The functional is PBE.

Cell: 5.5580 5.5580 27.3038 Å, 90.00 90.00 120.00°
Closest atoms and distances in Å follow each position.
Space group R-3m (No. 166, hexagonal axes)
Unique sites:
La1 0.0000 0.0000 0.1249 (multiplicity 6)  3 In 3.41, 1 Cd 3.41, 4 Hg 3.42-3.45
La2 0.0000 0.0000 0.3750 (multiplicity 6)  4 Hg 3.38-3.39, 3 Cd 3.40, 1 In 3.41
Cd1 0.0000 0.0000 0.0000 (multiplicity 3)  8 La 3.40-3.41
In1 0.0000 0.0000 0.5000 (multiplicity 3)  8 La 3.41
Hg1 0.0000 0.0000 0.2513 (multiplicity 6)  8 La 3.38-3.45

Properties
Magnetization ... 5.2 Bohr magnetons per cell
Fermi-level density of states ... 28.759 states/eV/cell
Formation energy from the elements ... -0.45 eV/atom

=====

- Which value of Fermi-level density of states does entry 9 give?
  7.049 states/eV/cell

=====

- Which formula does entry 12 have?
  La4CdInHg2